1.
The following is a PBE calculation of a relaxed structure of Ta4Nb5Pt, from Alexandria via LeMat-Bulk.

Unit cell a=4.983 b=5.579 c=7.544 alpha=106.87 beta=99.53 gamma=104.25
Fractional positions:
Ta 0.019 0.280 0.051
Ta 0.313 0.569 0.645
Ta 0.687 0.431 0.355
Ta 0.981 0.720 0.949
Nb 0.018 0.078 0.343
Nb 0.371 0.781 0.347
Nb 0.500 0.000 0.000
Nb 0.629 0.219 0.653
Nb 0.982 0.922 0.657
Pt 0.500 0.500 0.000

Computed properties:
Magnetic moment, μB per formula unit: 0.00
E_form, meV/atom: 132

=====

2.
The following is a PBE calculation of a relaxed structure of TaNbPt2, from Alexandria via LeMat-Bulk.

Unit cell a=5.830 b=5.830 c=5.830 alpha=102.90 beta=102.90 gamma=123.61
Fractional positions:
Ta 0.000 0.000 0.000
Ta 0.750 0.250 0.500
Nb 0.250 0.750 0.500
Nb 0.500 0.500 0.000
Pt 0.117 0.625 0.992
Pt 0.375 0.367 0.492
Pt 0.633 0.125 0.008
Pt 0.875 0.883 0.508

Computed properties:
Magnetic moment, μB per formula unit: 0.00
E_form, meV/atom: -116

=====

3.
The following is a PBE calculation of a relaxed structure of Ta3Nb2Pt, from Alexandria via LeMat-Bulk.

Unit cell a=3.332 b=3.332 c=9.605 alpha=90.00 beta=90.00 gamma=90.00
Fractional positions:
Ta 0.000 0.000 0.000
Ta 0.000 0.000 0.336
Ta 0.000 0.000 0.664
Nb 0.500 0.500 0.171
Nb 0.500 0.500 0.829
Pt 0.500 0.500 0.500

Computed properties:
Excess energy over the best structure of this formula in the dataset, meV/atom: 0
Magnetic moment, μB per formula unit: 0.00
E_form, meV/atom: -234

=====

4.
The following is a PBE calculation of a relaxed structure of Ta2NbPt2, from Alexandria via LeMat-Bulk.

Unit cell a=7.938 b=7.938 c=2.799 alpha=90.00 beta=90.00 gamma=90.00
Fractional positions:
Ta 0.171 0.329 0.000
Ta 0.329 0.829 0.000
Ta 0.671 0.171 0.000
Ta 0.829 0.671 0.000
Nb 0.000 0.000 0.500
Nb 0.500 0.500 0.500
Pt 0.126 0.626 0.500
Pt 0.374 0.126 0.500
Pt 0.626 0.874 0.500
Pt 0.874 0.374 0.500

Computed properties:
Excess energy over the best structure of this formula in the dataset, meV/atom: 0
Magnetic moment, μB per formula unit: 0.00
E_form, meV/atom: -393

=====

5.
The following is a PBE calculation of a relaxed structure of Ta2Nb6Pt, from Alexandria via LeMat-Bulk.

Unit cell a=4.494 b=4.494 c=8.719 alpha=90.00 beta=90.00 gamma=90.00
Fractional positions:
Ta 0.000 0.000 0.139
Ta 0.000 0.000 0.861
Nb 0.000 0.000 0.500
Nb 0.000 0.500 0.305
Nb 0.000 0.500 0.695
Nb 0.500 0.000 0.305
Nb 0.500 0.000 0.695
Nb 0.500 0.500 0.500
Pt 0.500 0.500 0.000

Computed properties:
Excess energy over the best structure of this formula in the dataset, meV/atom: 658
Magnetic moment, μB per formula unit: 0.00
E_form, meV/atom: 622

=====

6.
The following is a PBE calculation of a relaxed structure of TaNbPt14, from Alexandria via LeMat-Bulk.

Unit cell a=5.658 b=5.658 c=7.914 alpha=90.00 beta=90.00 gamma=90.00
Fractional positions:
Ta 0.000 0.000 0.000
Nb 0.500 0.500 0.000
Pt 0.000 0.000 0.500
Pt 0.000 0.500 0.000
Pt 0.000 0.500 0.500
Pt 0.250 0.250 0.243
Pt 0.250 0.250 0.757
Pt 0.250 0.750 0.243
Pt 0.250 0.750 0.757
Pt 0.500 0.000 0.000
Pt 0.500 0.000 0.500
Pt 0.500 0.500 0.500
Pt 0.750 0.250 0.243
Pt 0.750 0.250 0.757
Pt 0.750 0.750 0.243
Pt 0.750 0.750 0.757

Computed properties:
Magnetic moment, μB per formula unit: 0.00
E_form, meV/atom: -401

=====

7.
The following is a PBE calculation of a relaxed structure of Ta14NbPt, from Alexandria via LeMat-Bulk.

Unit cell a=5.739 b=5.739 c=9.301 alpha=90.00 beta=90.00 gamma=109.81
Fractional positions:
Ta 0.000 0.000 0.000
Ta 0.000 0.500 0.000
Ta 0.000 0.500 0.500
Ta 0.247 0.247 0.252
Ta 0.247 0.247 0.748
Ta 0.250 0.750 0.250
Ta 0.250 0.750 0.750
Ta 0.500 0.000 0.000
Ta 0.500 0.000 0.500
Ta 0.500 0.500 0.000
Ta 0.750 0.250 0.250
Ta 0.750 0.250 0.750
Ta 0.753 0.753 0.252
Ta 0.753 0.753 0.748
Nb 0.000 0.000 0.500
Pt 0.500 0.500 0.500

Computed properties:
Magnetic moment, μB per formula unit: 0.00
E_form, meV/atom: -105

=====

8.
The following is a PBE calculation of a relaxed structure of Ta2NbPt2, from Alexandria via LeMat-Bulk.

Unit cell a=7.893 b=7.893 c=2.851 alpha=90.00 beta=90.00 gamma=90.00
Fractional positions:
Ta 0.168 0.332 0.000
Ta 0.332 0.832 0.000
Ta 0.668 0.168 0.000
Ta 0.832 0.668 0.000
Nb 0.000 0.000 0.000
Nb 0.500 0.500 0.000
Pt 0.129 0.629 0.500
Pt 0.371 0.129 0.500
Pt 0.629 0.871 0.500
Pt 0.871 0.371 0.500

Computed properties:
Excess energy over the best structure of this formula in the dataset, meV/atom: 98
Magnetic moment, μB per formula unit: 0.00
E_form, meV/atom: -295

=====

9.
The following is a PBE calculation of a relaxed structure of Ta6Nb12Pt, from Alexandria via LeMat-Bulk.

Unit cell a=8.131 b=8.131 c=8.131 alpha=112.37 beta=112.37 gamma=112.37
Fractional positions:
Ta 0.173 0.513 0.513
Ta 0.487 0.487 0.827
Ta 0.487 0.827 0.487
Ta 0.513 0.173 0.513
Ta 0.513 0.513 0.173
Ta 0.827 0.487 0.487
Nb 0.000 0.287 0.713
Nb 0.000 0.713 0.287
Nb 0.095 0.095 0.336
Nb 0.095 0.336 0.095
Nb 0.287 0.000 0.713
Nb 0.287 0.713 0.000
Nb 0.336 0.095 0.095
Nb 0.664 0.905 0.905
Nb 0.713 0.000 0.287
Nb 0.713 0.287 0.000
Nb 0.905 0.664 0.905
Nb 0.905 0.905 0.664
Pt 0.500 0.500 0.500

Computed properties:
Excess energy over the best structure of this formula in the dataset, meV/atom: 254
Magnetic moment, μB per formula unit: 0.00
E_form, meV/atom: 321

=====

10.
The following is a PBE calculation of a relaxed structure of Ta6Nb3Pt2, from Alexandria via LeMat-Bulk.

Unit cell a=4.931 b=4.931 c=9.142 alpha=90.26 beta=90.26 gamma=112.40
Fractional positions:
Ta 0.091 0.421 0.743
Ta 0.237 0.237 0.300
Ta 0.421 0.091 0.743
Ta 0.579 0.909 0.257
Ta 0.763 0.763 0.700
Ta 0.909 0.579 0.257
Nb 0.161 0.839 0.000
Nb 0.500 0.500 0.000
Nb 0.839 0.161 0.000
Pt 0.256 0.744 0.500
Pt 0.744 0.256 0.500

Computed properties:
Magnetic moment, μB per formula unit: 0.00
E_form, meV/atom: 42

=====

11.
The following is a PBE calculation of a relaxed structure of TaNb14Pt, from Alexandria via LeMat-Bulk.

Unit cell a=5.780 b=5.780 c=9.191 alpha=90.00 beta=90.00 gamma=110.41
Fractional positions:
Ta 0.000 0.000 0.000
Nb 0.000 0.000 0.500
Nb 0.000 0.500 0.000
Nb 0.000 0.500 0.500
Nb 0.248 0.248 0.250
Nb 0.248 0.248 0.750
Nb 0.250 0.750 0.246
Nb 0.250 0.750 0.754
Nb 0.500 0.000 0.000
Nb 0.500 0.000 0.500
Nb 0.500 0.500 0.500
Nb 0.750 0.250 0.246
Nb 0.750 0.250 0.754
Nb 0.752 0.752 0.250
Nb 0.752 0.752 0.750
Pt 0.500 0.500 0.000

Computed properties:
Magnetic moment, μB per formula unit: 0.00
E_form, meV/atom: -115

=====

12.
The following is a PBE calculation of a relaxed structure of TaNb3Pt, from Alexandria via LeMat-Bulk.

Unit cell a=4.849 b=4.849 c=4.849 alpha=90.00 beta=90.00 gamma=90.00
Fractional positions:
Ta 0.000 0.000 0.000
Nb 0.000 0.500 0.500
Nb 0.500 0.000 0.500
Nb 0.500 0.500 0.000
Pt 0.500 0.500 0.500

Computed properties:
Excess energy over the best structure of this formula in the dataset, meV/atom: 1312
Magnetic moment, μB per formula unit: 0.00
E_form, meV/atom: 1243

=====

13.
The following is a PBE calculation of a relaxed structure of Ta2NbPt, from Alexandria via LeMat-Bulk.

Unit cell a=6.126 b=6.126 c=6.126 alpha=153.38 beta=132.36 gamma=55.40
Fractional positions:
Ta 0.236 0.236 0.000
Ta 0.764 0.764 0.000
Nb 0.500 0.500 0.000
Pt 0.000 0.000 0.000

Computed properties:
Magnetic moment, μB per formula unit: 0.00
E_form, meV/atom: 292

=====

14.
The following is a PBE calculation of a relaxed structure of TaNb6Pt2, from Alexandria via LeMat-Bulk.

Unit cell a=7.798 b=7.798 c=5.413 alpha=96.90 beta=96.90 gamma=89.24
Fractional positions:
Ta 0.091 0.909 0.750
Ta 0.909 0.091 0.250
Nb 0.042 0.249 0.788
Nb 0.047 0.425 0.278
Nb 0.249 0.042 0.288
Nb 0.303 0.672 0.005
Nb 0.328 0.697 0.495
Nb 0.425 0.047 0.778
Nb 0.575 0.953 0.222
Nb 0.672 0.303 0.505
Nb 0.697 0.328 0.995
Nb 0.751 0.958 0.712
Nb 0.953 0.575 0.722
Nb 0.958 0.751 0.212
Pt 0.339 0.379 0.660
Pt 0.379 0.339 0.160
Pt 0.621 0.661 0.840
Pt 0.661 0.621 0.340

Computed properties:
Magnetic moment, μB per formula unit: 0.00
E_form, meV/atom: -173

=====

15.
The following is a PBE calculation of a relaxed structure of Ta2Nb4Pt5, from Alexandria via LeMat-Bulk.

Unit cell a=6.949 b=6.949 c=6.404 alpha=113.43 beta=113.43 gamma=44.46
Fractional positions:
Ta 0.165 0.165 0.321
Ta 0.835 0.835 0.679
Nb 0.241 0.241 0.815
Nb 0.391 0.391 0.472
Nb 0.609 0.609 0.528
Nb 0.759 0.759 0.185
Pt 0.000 0.000 0.500
Pt 0.183 0.676 0.110
Pt 0.324 0.817 0.890
Pt 0.676 0.183 0.110
Pt 0.817 0.324 0.890

Computed properties:
Magnetic moment, μB per formula unit: 0.00
E_form, meV/atom: -315

=====

16.
The following is a PBE calculation of a relaxed structure of Ta12Nb5Pt2, from Alexandria via LeMat-Bulk.

Unit cell a=8.399 b=8.399 c=5.409 alpha=97.83 beta=97.83 gamma=67.71
Fractional positions:
Ta 0.042 0.558 0.799
Ta 0.050 0.050 0.297
Ta 0.146 0.652 0.390
Ta 0.348 0.854 0.610
Ta 0.368 0.368 0.055
Ta 0.442 0.958 0.201
Ta 0.558 0.042 0.799
Ta 0.632 0.632 0.945
Ta 0.652 0.146 0.390
Ta 0.854 0.348 0.610
Ta 0.950 0.950 0.703
Ta 0.958 0.442 0.201
Nb 0.153 0.153 0.894
Nb 0.259 0.259 0.505
Nb 0.500 0.500 0.500
Nb 0.741 0.741 0.495
Nb 0.847 0.847 0.106
Pt 0.249 0.751 0.000
Pt 0.751 0.249 0.000

Computed properties:
Magnetic moment, μB per formula unit: 0.00
E_form, meV/atom: -1

=====

17.
The following is a PBE calculation of a relaxed structure of Ta2NbPt, from Alexandria via LeMat-Bulk.

Unit cell a=10.329 b=10.329 c=10.329 alpha=158.26 beta=158.26 gamma=30.94
Fractional positions:
Ta 0.123 0.625 0.998
Ta 0.375 0.373 0.498
Ta 0.627 0.125 0.002
Ta 0.875 0.877 0.502
Nb 0.000 0.000 0.000
Nb 0.750 0.250 0.500
Pt 0.250 0.750 0.500
Pt 0.500 0.500 0.000

Computed properties:
Magnetic moment, μB per formula unit: 0.00
E_form, meV/atom: 308

=====

18.
The following is a PBE calculation of a relaxed structure of Ta3Nb2Pt, from Alexandria via LeMat-Bulk.

Unit cell a=2.819 b=8.087 c=9.893 alpha=72.44 beta=82.62 gamma=87.59
Fractional positions:
Ta 0.047 0.292 0.380
Ta 0.062 0.762 0.886
Ta 0.369 0.971 0.370
Ta 0.631 0.029 0.630
Ta 0.938 0.238 0.114
Ta 0.953 0.708 0.620
Nb 0.233 0.371 0.628
Nb 0.376 0.112 0.884
Nb 0.624 0.888 0.116
Nb 0.767 0.629 0.372
Pt 0.423 0.543 0.134
Pt 0.577 0.457 0.866

Computed properties:
Excess energy over the best structure of this formula in the dataset, meV/atom: 56
Magnetic moment, μB per formula unit: 0.00
E_form, meV/atom: -178

=====

19.
The following is a PBE calculation of a relaxed structure of Ta3Nb6Pt, from Alexandria via LeMat-Bulk.

Unit cell a=8.055 b=4.715 c=9.863 alpha=90.00 beta=106.78 gamma=90.00
Fractional positions:
Ta 0.054 0.250 0.403
Ta 0.157 0.750 0.202
Ta 0.249 0.250 0.003
Ta 0.751 0.750 0.997
Ta 0.843 0.250 0.798
Ta 0.946 0.750 0.597
Nb 0.045 0.750 0.895
Nb 0.140 0.250 0.697
Nb 0.259 0.750 0.502
Nb 0.348 0.750 0.801
Nb 0.358 0.250 0.309
Nb 0.449 0.750 0.095
Nb 0.551 0.250 0.905
Nb 0.642 0.750 0.691
Nb 0.652 0.250 0.199
Nb 0.741 0.250 0.498
Nb 0.860 0.750 0.303
Nb 0.955 0.250 0.105
Pt 0.442 0.250 0.615
Pt 0.558 0.750 0.385

Computed properties:
Magnetic moment, μB per formula unit: 0.00
E_form, meV/atom: -170

=====

20.
The following is a PBE calculation of a relaxed structure of Ta2NbPt, from Alexandria via LeMat-Bulk.

Unit cell a=4.499 b=4.499 c=3.433 alpha=90.00 beta=90.00 gamma=90.00
Fractional positions:
Ta 0.000 0.500 0.000
Ta 0.500 0.000 0.000
Nb 0.000 0.000 0.500
Pt 0.500 0.500 0.500

Computed properties:
Magnetic moment, μB per formula unit: 0.00
E_form, meV/atom: -339